Below is CsCoNiF6 after structural relaxation, with properties calculated at the PBE+U level.

a = 7.3491 Å, b = 7.3491 Å, c = 7.3491 Å
α = 120.01°, β = 119.43°, γ = 90.49°
Each line ends with the local moment (μB).
Fractional coordinates of all 18 atoms:
Cs  0.3706  0.6206  0.7500  0.00
Cs  0.6294  0.3794  0.2500  0.00
Co  0.0000  0.0000  0.0000  3.28
Co  0.5000  0.0000  0.5000  3.28
Ni  0.0000  0.0000  0.5000  1.85
Ni  0.0000  0.5000  0.0000  1.85
F  0.3172  0.0672  0.2500  0.16
F  0.9259  0.6759  0.2500  0.06
F  0.3295  0.6894  0.2620  0.14
F  0.9274  0.0675  0.2380  0.14
F  0.3295  0.0675  0.6401  0.14
F  0.9274  0.6894  0.8599  0.14
F  0.6828  0.9328  0.7500  0.16
F  0.0741  0.3241  0.7500  0.06
F  0.6705  0.3106  0.7380  0.14
F  0.0726  0.9325  0.7620  0.14
F  0.6705  0.9325  0.3599  0.14
F  0.0726  0.3106  0.1401  0.14

Results
Magnetization (μB/atom): 0.67
Space-group type: Imma (74)
DFT total energy (eV per cell): -80.507